(1)
Here is a relaxed structure of Tm3Cu8Pd from Alexandria. Energies are from PBE.

The total magnetic moment comes out at 0.000 Bohr magnetons per cell.

The space group is P3m1 (No. 156) and the conventional cell measures 5.0900, 5.0900 and 8.3608 Å, with angles of 90.00, 90.00 and 120.00 degrees. Symmetry generates all atoms from Tm at (0.0000, 0.0000, 0.0000), Tm at (0.0000, 0.0000, 0.3957), Tm at (0.3333, 0.6667, 0.8316), Cu at (0.0056, 0.5028, 0.1849), Cu at (0.3350, 0.1675, 0.6805), Cu at (0.6667, 0.3333, 0.4326), Cu at (0.6667, 0.3333, 0.9383) and Pd at (0.3333, 0.6667, 0.4774).

(2)
Here is a relaxed structure of TmCu5Pd6 from Alexandria. Energies are from PBE.

The total magnetic moment comes out at 0.000 Bohr magnetons per cell.

The space group is Cmmm (No. 65) and the conventional cell measures 4.367, 13.073 and 6.191 Å, with angles of 90.00, 90.00 and 90.00 degrees. Symmetry generates all atoms from Tm at (0.000, 0.000, 0.000), Cu at (0.000, 0.000, 0.500), Cu at (0.000, 0.334, 0.000), Cu at (0.000, 0.336, 0.500), Pd at (0.000, 0.173, 0.258) and Pd at (0.000, 0.500, 0.267).

(3)
Here is a relaxed structure of Tm2CuPd from Alexandria. Energies are from PBE.

The total magnetic moment comes out at 0.000 Bohr magnetons per cell.

The space group is R-3m (No. 166, hexagonal axes) and the conventional cell measures 3.9833, 3.9833 and 20.0724 Å, with angles of 90.00, 90.00 and 120.00 degrees. Symmetry generates all atoms from Tm at (0.0000, 0.0000, 0.2481), Cu at (0.0000, 0.0000, 0.0000) and Pd at (0.0000, 0.0000, 0.5000).

(4)
Here is a relaxed structure of TmCu2Pd5 from Alexandria. Energies are from PBE.

The total magnetic moment comes out at 0.000 Bohr magnetons per cell.

The space group is I4/mcm (No. 140) and the conventional cell measures 6.819, 6.819 and 10.989 Å, with angles of 90.00, 90.00 and 90.00 degrees. Symmetry generates all atoms from Tm at (0.000, 0.000, 0.250), Cu at (0.145, 0.355, 0.000), Pd at (0.000, 0.000, 0.000) and Pd at (0.147, 0.353, 0.347).

no.,DFT formation energy (meV/atom),calculated density (g/cm³),energy (eV/atom)
1,-302,9.9,-4.583
2,-336,10.6,-5.011
3,-424,9.2,-4.982
4,-371,10.8,-5.200